Record 1
NaLiCdAg | Alexandria | PBE-GGA | optimized geometry; relative energy among the computed polymorphs = 0.0000 eV per atom; crystal system = tetragonal; final energy = -1.877 eV per atom; SG = No. 99; M_tot = 0.0 Bohr magnetons per cell
1.0
-1.995 -1.254 2.164
2.500 -1.090 1.673
0.207 6.894 4.185
Na Cd Li Ag
1 1 1 1
direct
0.000 0.000 0.088
0.500 0.500 0.779
0.000 0.000 0.553
0.500 0.500 0.365

***

Record 2
Be3TeP | Alexandria | PBE-GGA | optimized geometry; relative energy among the computed polymorphs = 0.9531 eV per atom; crystal system = cubic; final energy = -2.567 eV per atom; SG = No. 221; M_tot = 0.0 Bohr magnetons per cell; raw formation energy = 133.0 kJ/mol of atoms
1.0
-4.247 1.751 0.426
0.222 -0.573 4.572
1.788 4.230 0.443
Te Be P
1 3 1
direct
0.000 0.000 0.000
0.500 0.000 0.000
0.000 0.000 0.500
0.000 0.500 0.000
0.500 0.500 0.500

***

Record 3
AcNdHgRh | Alexandria | PBE-GGA | optimized geometry; relative energy among the computed polymorphs = 0.1008 eV per atom; crystal system = cubic; final energy = -4.587 eV per atom; SG = No. 216; M_tot = 0.0 Bohr magnetons per cell
1.0
5.361 0.000 0.000
2.681 4.643 0.000
2.681 1.548 4.378
Ac Rh Hg Nd
1 1 1 1
direct
0.250 0.250 0.250
0.000 0.000 0.000
0.500 0.500 0.500
0.750 0.750 0.750